Entry 1:
LiTiSnAu, optimized geometry, DFT PBE; calculated formation energy = -0.3615 eV per atom
1.0
-1.0022 -2.3679 -3.8819
3.3416 -2.3775 -2.2050
-0.0318 -4.6558 0.0557
Ti Sn Li Au
1 1 1 1
Direct
0.2500 0.2500 0.2500 Ti
0.5000 0.5000 0.5000 Sn
0.7500 0.7500 0.7500 Li
0.0000 0.0000 0.0000 Au

=====

Entry 2:
NdIn6Bi, optimized geometry, DFT PBE; calculated formation energy = -0.1528 eV per atom
1.0
5.6691 0.0000 0.0000
0.0000 6.4880 1.5535
0.0000 1.6359 6.4677
Nd In Bi
1 6 1
Direct
0.5000 0.0000 0.0000 Nd
0.5000 0.5000 0.0000 In
0.0000 0.7762 0.7762 In
0.0000 0.2749 0.7251 In
0.0000 0.7251 0.2749 In
0.0000 0.2238 0.2238 In
0.5000 0.0000 0.5000 In
0.5000 0.5000 0.5000 Bi

=====

Entry 3:
LiBeAg2F6, optimized geometry, DFT PBE; uncorrected formation energy = -2006 meV/atom
1.0
-1.9684 5.0551 0.6812
-2.6904 -0.4085 -4.7422
-5.7999 -2.7337 3.5260
F Ag Be Li
12 4 2 2
Direct
0.6946 0.6653 0.0000 F
0.1653 0.8054 0.0000 F
0.8347 0.1946 0.0000 F
0.3054 0.3347 0.0000 F
0.3347 0.3054 0.5000 F
0.5000 0.0000 0.2758 F
0.6653 0.6946 0.5000 F
0.0000 0.5000 0.2242 F
0.1946 0.8347 0.5000 F
0.5000 0.0000 0.7242 F
0.8054 0.1653 0.5000 F
0.0000 0.5000 0.7758 F
0.5000 0.5000 0.7500 Ag
0.0000 0.0000 0.7500 Ag
0.0000 0.0000 0.2500 Ag
0.5000 0.5000 0.2500 Ag
0.0000 0.5000 0.0000 Be
0.5000 0.0000 0.5000 Be
0.0000 0.5000 0.5000 Li
0.5000 0.0000 0.0000 Li

=====

Entry 4:
K3RbU2S6, optimized geometry, DFT PBE; uncorrected formation energy = -1369 meV/atom
1.0
-3.2480 2.5530 0.4061
-2.7799 -4.6876 7.2354
7.3551 5.4446 3.3816
K S U Rb
3 6 2 1
Direct
0.1566 0.8364 0.3132 K
0.8434 0.1636 0.6868 K
0.5000 0.5000 0.0000 K
0.6799 0.5515 0.3598 S
0.3229 0.8555 0.6458 S
0.0319 0.2778 0.0639 S
0.6771 0.1445 0.3542 S
0.3201 0.4485 0.6402 S
0.9681 0.7222 0.9361 S
0.1703 0.3399 0.3407 U
0.8297 0.6601 0.6593 U
0.5000 0.0000 0.0000 Rb

=====

Entry 5:
The following is a PBE calculation of CsH6N2 after structural relaxation, from Alexandria via LeMat-Bulk.

Structure (POSCAR):
```
CsH6N2
1.0
-1.3399 -1.6253 -7.2213
5.3187 -4.2592 3.1867
-7.3073 -2.1095 4.1410
H N Cs
12 4 2
Direct
0.7242 0.8088 0.7626 H
0.1368 0.1636 0.4224 H
0.0588 0.4742 0.2626 H
0.1727 0.8114 0.9162 H
0.5065 0.6452 0.5838 H
0.2116 0.7962 0.7374 H
0.9644 0.4912 0.0775 H
0.0614 0.9227 0.4162 H
0.7412 0.7144 0.5775 H
0.0462 0.9616 0.2374 H
0.8952 0.2565 0.0838 H
0.4136 0.8868 0.9225 H
0.2779 0.8925 0.8690 N
0.0234 0.4088 0.1310 N
0.1425 0.0279 0.3690 N
0.6588 0.7734 0.6310 N
0.6198 0.1198 0.5000 Cs
0.3698 0.3698 0.0000 Cs
```

=====

Entry 6:
TbPr5Ag4, optimized geometry, DFT PBE; calculated formation energy = -0.1905 eV per atom
1.0
-0.4737 -2.3931 -2.8399
2.8346 -2.0826 1.2821
-13.0627 -10.8235 11.2995
Ag Pr Tb
4 5 1
Direct
0.0000 0.0000 0.2150 Ag
0.0000 0.0000 0.5945 Ag
0.0000 0.0000 0.7850 Ag
0.0000 0.0000 0.4055 Ag
0.5000 0.5000 0.8781 Pr
0.5000 0.5000 0.5000 Pr
0.5000 0.5000 0.6897 Pr
0.5000 0.5000 0.3103 Pr
0.5000 0.5000 0.1219 Pr
0.0000 0.0000 0.0000 Tb

=====

Entry 7:
LiAc3Pd8, optimized geometry, DFT PBE; calculated formation energy = -0.7110 eV per atom
1.0
-0.0423 -2.0957 -5.1961
0.4318 -5.5296 -0.7942
-8.9591 -3.3065 -1.6144
Li Ac Pd
1 3 8
Direct
0.8583 0.8583 0.4251 Li
0.5101 0.5101 0.4696 Ac
0.3795 0.3795 0.8614 Ac
0.9873 0.9873 0.0382 Ac
0.9402 0.4382 0.6815 Pd
0.4375 0.9424 0.1826 Pd
0.9424 0.4375 0.1826 Pd
0.1896 0.1896 0.4312 Pd
0.4375 0.4375 0.1826 Pd
0.4382 0.9402 0.6815 Pd
0.9402 0.9402 0.6815 Pd
0.6892 0.6892 0.9324 Pd

=====

Entry 8:
Rb3Sr4F12, optimized geometry, DFT PBE; uncorrected formation energy = -3287 meV/atom
1.0
7.7539 0.0000 -2.7414
-3.8770 6.7151 -2.7414
0.0000 0.0000 8.2243
Rb F Sr
3 12 4
Direct
0.0000 0.5000 0.5000 Rb
0.5000 0.5000 0.0000 Rb
0.5000 0.0000 0.5000 Rb
0.9274 0.2251 0.7023 F
0.7749 0.2977 0.0726 F
0.2977 0.5228 0.2251 F
0.2251 0.7023 0.9274 F
0.4772 0.7749 0.7023 F
0.7023 0.9274 0.2251 F
0.0726 0.7749 0.2977 F
0.5228 0.2251 0.2977 F
0.7749 0.7023 0.4772 F
0.2977 0.0726 0.7749 F
0.7023 0.4772 0.7749 F
0.2251 0.2977 0.5228 F
0.0000 0.5000 0.0000 Sr
0.5000 0.5000 0.5000 Sr
0.0000 0.0000 0.5000 Sr
0.5000 0.0000 0.0000 Sr

=====

Entry 9:
PmY2Sb, optimized geometry, DFT PBE; uncorrected formation energy = -497 meV/atom
1.0
-0.9745 -3.4972 3.0953
-1.2168 -2.9301 -3.6937
4.6087 -1.5439 -0.2935
Sb Pm Y
1 1 2
Direct
0.5000 0.5000 0.5000 Sb
0.5000 0.0000 0.0000 Pm
0.0000 0.0000 0.5000 Y
0.0000 0.5000 0.0000 Y

=====

Entry 10:
Tl3BiB4O12, optimized geometry, DFT PBE; uncorrected formation energy = -1600 meV/atom
1.0
6.5279 0.0641 0.0891
-1.5106 6.3510 0.0891
-1.5106 -1.9315 6.0508
Tl O B Bi
3 12 4 1
Direct
0.0000 0.5324 0.4676 Tl
0.5324 0.4676 0.0000 Tl
0.4676 0.0000 0.5324 Tl
0.3649 0.6351 0.5000 O
0.5000 0.0987 0.9013 O
0.1725 0.3638 0.9730 O
0.0270 0.6362 0.8275 O
0.9013 0.5000 0.0987 O
0.8275 0.0270 0.6362 O
0.6362 0.8275 0.0270 O
0.0987 0.9013 0.5000 O
0.6351 0.5000 0.3649 O
0.3638 0.9730 0.1725 O
0.9730 0.1725 0.3638 O
0.5000 0.3649 0.6351 O
0.5000 0.9641 0.0359 B
0.9641 0.0359 0.5000 B
0.5000 0.5000 0.5000 B
0.0359 0.5000 0.9641 B
0.0000 0.0000 0.0000 Bi

=====

Entry 11:
La2Nd3Tl, optimized geometry, DFT PBE; calculated formation energy = -0.0780 eV per atom
1.0
6.5276 -0.0001 0.0005
0.0000 7.0567 0.7141
-3.2631 -0.8953 8.8314
Nd La Tl
6 4 2
Direct
0.8586 0.0000 0.7171 Nd
0.3184 0.7500 0.0000 Nd
0.1414 0.0000 0.2829 Nd
0.6816 0.2500 0.0000 Nd
0.8585 0.5001 0.7171 Nd
0.1415 0.4999 0.2829 Nd
0.6543 0.2497 0.3544 La
0.7000 0.7497 0.3545 La
0.3000 0.2503 0.6455 La
0.3457 0.7503 0.6456 La
0.1962 0.2500 0.0000 Tl
0.8038 0.7500 0.0000 Tl

=====

Entry 12:
InBi2Pb, optimized geometry, DFT PBE; calculated formation energy = 0.0948 eV per atom
1.0
4.5087 0.0000 0.0000
2.2543 3.9046 0.0000
2.2543 1.3015 7.6920
Pb Bi In
1 2 1
Direct
0.6661 0.6661 0.0018 Pb
0.2466 0.2466 0.2603 Bi
0.0888 0.0888 0.7336 Bi
0.4985 0.4985 0.5044 In

=====

These records have energy values of -4.6337 -3.2877 -4.2630 -5.6690 -4.4953 -4.1838 -5.3595 -4.9760 -5.9476 -6.4591 -4.4987 -3.4574 eV per atom, in the order they appear.